First-principles (PBE with a Hubbard U) data for crystalline HgMo2O7 at its relaxed geometry, as listed in the Alexandria database.

CIF file:
```
data_HgMo2O7
_chemical_formula_sum 'Hg1 Mo2 O7'
_symmetry_space_group_name_H-M 'P 1'
_symmetry_Int_Tables_number 1
_symmetry_space_group_name_Hall 'P 1'
_cell_length_a 5.988
_cell_length_b 5.988
_cell_length_c 3.796
_cell_angle_alpha 90.00
_cell_angle_beta 90.00
_cell_angle_gamma 115.90
loop_
_atom_site_label
_atom_site_type_symbol
_atom_site_fract_x
_atom_site_fract_y
_atom_site_fract_z
Hg1 Hg 0.000 0.000 0.000
Mo1 Mo 0.310 0.690 0.500
Mo2 Mo 0.690 0.310 0.500
O1 O 0.041 0.327 0.500
O2 O 0.304 0.696 0.000
O3 O 0.327 0.041 0.500
O4 O 0.500 0.500 0.500
O5 O 0.673 0.959 0.500
O6 O 0.696 0.304 0.000
O7 O 0.959 0.673 0.500
```

Output
The value obtained for the density of states at the Fermi level is 0.6 states/eV per cell. The calculation puts the total energy at -6.046 eV per atom. The space group is Cmmm (65).